1.
PBE AcSc2In, relaxed; mass density = 6.301 g cm⁻³; symmetry = P4/mmm, No. 123; M_tot = 0.2491 μB per atom; energy relative to the lowest polymorph listed for this composition = 0.0484 eV per atom; crystal system = tetragonal
1.0
4.881 0.000 0.000
0.000 4.881 0.000
0.000 0.000 4.776
Ac Sc In
1 2 1
direct
0.000 0.000 0.000
0.000 0.500 0.500
0.500 0.000 0.500
0.500 0.500 0.000

---

2.
PBE Ac2ScIn, relaxed; mass density = 6.837 g cm⁻³; symmetry = R-3m, No. 166; M_tot = 0.0000 μB per atom; energy relative to the lowest polymorph listed for this composition = 0.3326 eV per atom; crystal system = trigonal
1.0
1.852 1.069 12.545
-1.852 1.069 12.545
0.000 -2.139 12.545
Ac Sc In
2 1 1
direct
0.092 0.092 0.092
0.908 0.908 0.908
0.500 0.500 0.500
0.000 0.000 0.000

---

3.
PBE Ac3ScIn4, relaxed; mass density = 7.842 g cm⁻³; symmetry = P4/mmm, No. 123; M_tot = 0.0000 μB per atom; VASP energy = -4.105 eV/atom; crystal system = tetragonal
1.0
3.874 0.000 0.000
0.000 3.874 0.000
0.000 0.000 16.720
Ac Sc In
3 1 4
direct
0.000 0.000 0.000
0.000 0.000 0.269
0.000 0.000 0.731
0.000 0.000 0.500
0.500 0.500 0.135
0.500 0.500 0.405
0.500 0.500 0.595
0.500 0.500 0.865

---

4.
PBE AcSc2In3, relaxed; mass density = 6.406 g cm⁻³; symmetry = Cmcm, No. 63; M_tot = 0.0001 μB per atom; VASP energy = -4.500 eV/atom; crystal system = orthorhombic
1.0
5.787 -4.406 0.000
5.787 4.406 0.000
0.000 0.000 6.723
Ac Sc In
2 4 6
direct
0.156 0.844 0.750
0.844 0.156 0.250
0.287 0.287 0.000
0.287 0.287 0.500
0.713 0.713 0.000
0.713 0.713 0.500
0.052 0.636 0.250
0.364 0.948 0.250
0.462 0.538 0.250
0.538 0.462 0.750
0.636 0.052 0.750
0.948 0.364 0.750